DFT (PBE) results for crystalline NdPbNO at its relaxed geometry.

abc: 4.0280 6.2224 6.6086
angles: 90.00 90.00 90.00
Fractional positions:
Nd1 0.0000 0.1945 0.0000
Nd2 0.0000 0.8055 0.5000
Pb1 0.5000 0.2922 0.4754
Pb2 0.5000 0.7078 0.9754
N1 0.5000 0.3738 0.0897
N2 0.5000 0.6262 0.5897
O1 0.0000 0.1259 0.6658
O2 0.0000 0.8741 0.1658

Summary:
Energy above the most stable polymorph in this dataset: 6.1 kJ per mole of atoms
SG: Pmc2_1

DFT (PBE) results for crystalline LiLuCuSe3 at its relaxed geometry.

abc: 6.8073 6.8073 10.4001
angles: 90.00 90.00 147.42
Fractional positions:
Li1 0.2226 0.7774 0.7500
Li2 0.7774 0.2226 0.2500
Lu1 0.0000 0.0000 0.0000
Lu2 0.0000 0.0000 0.5000
Cu1 0.4793 0.5207 0.2500
Cu2 0.5207 0.4793 0.7500
Se1 0.0943 0.9057 0.2500
Se2 0.3578 0.6422 0.0751
Se3 0.3578 0.6422 0.4249
Se4 0.6422 0.3578 0.5751
Se5 0.6422 0.3578 0.9249
Se6 0.9057 0.0943 0.7500

Summary:
Energy above the most stable polymorph in this dataset: 0.0 kJ per mole of atoms
SG: Cmcm

DFT (PBE) results for crystalline TmScCu2Ge2 at its relaxed geometry.

abc: 4.2086 4.2086 6.8133
angles: 90.00 90.00 120.00
Fractional positions:
Tm1 0.0000 0.0000 0.0000
Sc1 0.0000 0.0000 0.5000
Cu1 0.3333 0.6667 0.7873
Cu2 0.6667 0.3333 0.3119
Ge1 0.3333 0.6667 0.2283
Ge2 0.6667 0.3333 0.7097

Summary:
E: -5.245 eV/atom
SG: P3m1

DFT (PBE) results for crystalline SmYS2Cl2 at its relaxed geometry.

abc: 4.0636 5.3930 8.7853
angles: 90.00 90.00 90.00
Fractional positions:
Sm1 0.0000 0.0000 0.0000
Y1 0.5000 0.5000 0.7257
S1 0.0000 0.5000 0.9368
S2 0.5000 0.0000 0.7798
Cl1 0.0000 0.5000 0.5266
Cl2 0.5000 0.0000 0.2066

Summary:
E: -6.026 eV/atom
SG: Pmm2